# 1
First-principles (PBE) data for a relaxed U2CrN3 crystal, as listed in Alexandria.

a = 6.631 Å, b = 6.631 Å, c = 6.631 Å
α = 151.25°, β = 147.40°, γ = 44.01°
Positions (direct):
U  0.355  0.355  0.000
U  0.645  0.645  0.000
N  0.831  0.831  0.000
N  0.169  0.169  0.000
N  0.500  0.000  0.500
Cr  0.000  0.000  0.000

E: -10.7119 eV/atom
Calculated volume: 12.55 A^3/atom
Space group: Immm, No. 71



# 2
First-principles (PBE) data for a relaxed UCrN2 crystal, as listed in Alexandria.

a = 3.189 Å, b = 3.189 Å, c = 6.198 Å
α = 75.09°, β = 75.09°, γ = 60.00°
Positions (direct):
N  0.112  0.112  0.664
N  0.888  0.888  0.336
U  0.000  0.000  0.000
Cr  0.500  0.500  0.500

E: -9.7719 eV/atom
Calculated volume: 13.03 A^3/atom
Space group: R-3m, No. 166



# 3
First-principles (PBE) data for a relaxed UCrN2 crystal, as listed in Alexandria.

a = 3.183 Å, b = 5.387 Å, c = 10.537 Å
α = 90.00°, β = 90.00°, γ = 90.00°
Positions (direct):
U  0.250  0.921  0.856
U  0.750  0.579  0.356
U  0.750  0.079  0.144
U  0.250  0.421  0.644
N  0.750  0.165  0.754
N  0.750  0.734  0.007
N  0.250  0.766  0.507
N  0.750  0.665  0.746
N  0.750  0.234  0.493
N  0.250  0.266  0.993
N  0.250  0.835  0.246
N  0.250  0.335  0.254
Cr  0.750  0.922  0.595
Cr  0.750  0.422  0.905
Cr  0.250  0.078  0.405
Cr  0.250  0.578  0.095

E: -10.4127 eV/atom
Calculated volume: 11.29 A^3/atom
Space group: Pnma, No. 62



# 4
First-principles (PBE) data for a relaxed UCr2N crystal, as listed in Alexandria.

a = 2.929 Å, b = 2.929 Å, c = 7.145 Å
α = 78.17°, β = 78.17°, γ = 60.00°
Positions (direct):
N  0.500  0.500  0.500
U  0.000  0.000  0.000
Cr  0.882  0.882  0.355
Cr  0.118  0.118  0.645

E: -9.6095 eV/atom
Calculated volume: 12.90 A^3/atom
Space group: R-3m, No. 166



# 5
First-principles (PBE) data for a relaxed VCrN2 crystal, as listed in Alexandria.

a = 2.749 Å, b = 2.749 Å, c = 5.402 Å
α = 75.26°, β = 75.26°, γ = 60.00°
Positions (direct):
V  0.667  0.667  0.000
Cr  0.500  0.500  0.501
N  0.085  0.085  0.744
N  0.248  0.248  0.255

E: -9.5446 eV/atom
Excess energy over the best structure of this formula in the dataset: 0.0000 eV per atom
Calculated volume: 8.45 A^3/atom
Space group: R3m, No. 160



# 6
First-principles (PBE) data for a relaxed VCrN2 crystal, as listed in Alexandria.

a = 6.147 Å, b = 6.147 Å, c = 6.147 Å
α = 27.35°, β = 27.35°, γ = 27.35°
Positions (direct):
V  0.500  0.500  0.500
Cr  0.000  0.000  0.000
N  0.895  0.895  0.895
N  0.105  0.105  0.105

E: -9.0659 eV/atom
Excess energy over the best structure of this formula in the dataset: 0.4787 eV per atom
Calculated volume: 10.82 A^3/atom
Space group: R-3m, No. 166



# 7
First-principles (PBE) data for a relaxed VCr3N crystal, as listed in Alexandria.

a = 4.429 Å, b = 4.429 Å, c = 4.429 Å
α = 90.00°, β = 90.00°, γ = 90.00°
Positions (direct):
Cr  0.500  0.000  0.000
Cr  0.000  0.500  0.000
Cr  0.000  0.000  0.500
N  0.500  0.500  0.500
V  0.000  0.000  0.000

E: -7.0319 eV/atom
Excess energy over the best structure of this formula in the dataset: 2.4396 eV per atom
Calculated volume: 17.38 A^3/atom
Space group: Pm-3m, No. 221



# 8
First-principles (PBE) data for a relaxed VCrN crystal, as listed in Alexandria.

a = 2.531 Å, b = 4.891 Å, c = 5.091 Å
α = 105.97°, β = 90.00°, γ = 105.00°
Positions (direct):
N  0.000  0.000  0.500
N  0.000  0.000  0.000
Cr  0.358  0.716  0.187
Cr  0.642  0.284  0.813
V  0.624  0.247  0.310
V  0.376  0.753  0.690

E: -9.1780 eV/atom
Calculated volume: 9.73 A^3/atom
Space group: C2/m, No. 12



Energy relative to the elements, uncorrected in eV per atom, matching the order above: -1.183; -0.381; -1.022; 0.106; -0.696; -0.218; 2.231; -0.156
DOS(E_F) in states/eV per atom, matching the order above: 1.03; 0.71; 1.22; 1.89; 0.66; 1.01; 1.48; 0.82